[1]
## CsErPtBr6 (PBE)

Data for an optimized crystal structure of CsErPtBr6.

Calculated values
As for the total magnetic moment: 2.00 μB/f.u. For the uncorrected formation energy, the calculation gives -1.201 eV/atom.

```
data_CsErPtBr6
_cell_length_a 7.0709
_cell_length_b 7.0709
_cell_length_c 8.3315
_cell_angle_alpha 90.00
_cell_angle_beta 90.00
_cell_angle_gamma 120.00
_symmetry_space_group_name_H-M 'P 3 1 2'
_symmetry_Int_Tables_number 149
_symmetry_space_group_name_Hall 'P 3 2'
loop_
_atom_site_label
_atom_site_type_symbol
_atom_site_fract_x
_atom_site_fract_y
_atom_site_fract_z
_atom_site_occupancy
Cs1 Cs 0.0000 0.0000 0.0000 1
Er1 Er 0.6667 0.3333 0.5000 1
Pt1 Pt 0.3333 0.6667 0.5000 1
Br1 Br 0.0103 0.3733 0.6899 1
```

***

[2]
## Cs3Rb3ErBr8 (PBE)

Data for an optimized crystal structure of Cs3Rb3ErBr8.

Calculated values
As for the total magnetic moment: 0.31 μB/f.u. For the uncorrected formation energy, the calculation gives -1.706 eV/atom.

```
data_Cs3Rb3ErBr8
_cell_length_a 17.4109
_cell_length_b 10.0514
_cell_length_c 10.2452
_cell_angle_alpha 90.00
_cell_angle_beta 124.51
_cell_angle_gamma 90.00
_symmetry_space_group_name_H-M 'C 1 2/m 1'
_symmetry_Int_Tables_number 12
_symmetry_space_group_name_Hall '-C 2y'
loop_
_atom_site_label
_atom_site_type_symbol
_atom_site_fract_x
_atom_site_fract_y
_atom_site_fract_z
_atom_site_occupancy
Cs1 Cs 0.0000 0.0000 0.0000 1
Cs2 Cs 0.2500 0.2500 0.0000 1
Rb1 Rb 0.0000 0.5000 0.5000 1
Rb2 Rb 0.2500 0.2500 0.5000 1
Er1 Er 0.0000 0.0000 0.5000 1
Br1 Br 0.0030 0.2011 0.3089 1
Br2 Br 0.1983 0.0000 0.6925 1
Br3 Br 0.2446 0.5000 0.7339 1
```

***

[3]
## CsErSn2Br8 (PBE)

Data for an optimized crystal structure of CsErSn2Br8.

Calculated values
As for the total magnetic moment: 0.00 μB/f.u. For the uncorrected formation energy, the calculation gives -1.276 eV/atom.

```
data_CsErSn2Br8
_cell_length_a 6.8344
_cell_length_b 7.4098
_cell_length_c 9.8520
_cell_angle_alpha 82.89
_cell_angle_beta 86.88
_cell_angle_gamma 85.83
_symmetry_space_group_name_H-M 'P -1'
_symmetry_Int_Tables_number 2
_symmetry_space_group_name_Hall '-P 1'
loop_
_atom_site_label
_atom_site_type_symbol
_atom_site_fract_x
_atom_site_fract_y
_atom_site_fract_z
_atom_site_occupancy
Cs1 Cs 0.0000 0.0000 0.0000 1
Er1 Er 0.0000 0.0000 0.5000 1
Sn1 Sn 0.4744 0.4723 0.2557 1
Br1 Br 0.2177 0.3158 0.4643 1
Br2 Br 0.2389 0.8391 0.3070 1
Br3 Br 0.2578 0.8608 0.7052 1
Br4 Br 0.2647 0.3907 0.0513 1
```

***

[4]
## CsErSnBr6 (PBE)

Data for an optimized crystal structure of CsErSnBr6.

Calculated values
As for the total magnetic moment: 0.00 μB/f.u. For the uncorrected formation energy, the calculation gives -1.526 eV/atom.

```
data_CsErSnBr6
_cell_length_a 7.6064
_cell_length_b 7.6064
_cell_length_c 7.9682
_cell_angle_alpha 90.00
_cell_angle_beta 90.00
_cell_angle_gamma 120.00
_symmetry_space_group_name_H-M 'P 3 1 2'
_symmetry_Int_Tables_number 149
_symmetry_space_group_name_Hall 'P 3 2'
loop_
_atom_site_label
_atom_site_type_symbol
_atom_site_fract_x
_atom_site_fract_y
_atom_site_fract_z
_atom_site_occupancy
Cs1 Cs 0.0000 0.0000 0.0000 1
Er1 Er 0.6667 0.3333 0.5000 1
Sn1 Sn 0.3333 0.6667 0.5000 1
Br1 Br 0.3857 0.0207 0.7056 1
```

***

[5]
## CsSr2ErBr8 (PBE)

Data for an optimized crystal structure of CsSr2ErBr8.

Calculated values
As for the total magnetic moment: 0.00 μB/f.u. For the uncorrected formation energy, the calculation gives -1.945 eV/atom.

```
data_CsSr2ErBr8
_cell_length_a 6.9709
_cell_length_b 7.1805
_cell_length_c 9.7006
_cell_angle_alpha 89.96
_cell_angle_beta 89.92
_cell_angle_gamma 89.52
_symmetry_space_group_name_H-M 'P -1'
_symmetry_Int_Tables_number 2
_symmetry_space_group_name_Hall '-P 1'
loop_
_atom_site_label
_atom_site_type_symbol
_atom_site_fract_x
_atom_site_fract_y
_atom_site_fract_z
_atom_site_occupancy
Cs1 Cs 0.0000 0.0000 0.0000 1
Sr1 Sr 0.4999 0.5001 0.2518 1
Er1 Er 0.0000 0.0000 0.5000 1
Br1 Br 0.2331 0.8396 0.6993 1
Br2 Br 0.2341 0.8407 0.3004 1
Br3 Br 0.2500 0.3175 0.5003 1
Br4 Br 0.2637 0.4005 0.0003 1
```

***

[6]
## Cs2ErTlBr6 (PBE)

Data for an optimized crystal structure of Cs2ErTlBr6.

Calculated values
As for the total magnetic moment: 0.00 μB/f.u. For the uncorrected formation energy, the calculation gives -1.689 eV/atom.

```
data_Cs2ErTlBr6
_cell_length_a 8.2441
_cell_length_b 8.5862
_cell_length_c 14.4347
_cell_angle_alpha 90.00
_cell_angle_beta 124.75
_cell_angle_gamma 90.00
_symmetry_space_group_name_H-M 'P 1 21/c 1'
_symmetry_Int_Tables_number 14
_symmetry_space_group_name_Hall '-P 2ybc'
loop_
_atom_site_label
_atom_site_type_symbol
_atom_site_fract_x
_atom_site_fract_y
_atom_site_fract_z
_atom_site_occupancy
Cs1 Cs 0.2318 0.0620 0.2505 1
Er1 Er 0.5000 0.0000 0.0000 1
Tl1 Tl 0.0000 0.0000 0.5000 1
Br1 Br 0.1858 0.1820 0.9610 1
Br2 Br 0.2788 0.7291 0.9579 1
Br3 Br 0.3515 0.0187 0.7718 1
```

***

[7]
## CsErTl2Br6 (PBE)

Data for an optimized crystal structure of CsErTl2Br6.

Calculated values
As for the total magnetic moment: 0.00 μB/f.u. For the uncorrected formation energy, the calculation gives -1.470 eV/atom.

```
data_CsErTl2Br6
_cell_length_a 8.2816
_cell_length_b 8.2845
_cell_length_c 8.6672
_cell_angle_alpha 61.46
_cell_angle_beta 61.47
_cell_angle_gamma 60.04
_symmetry_space_group_name_H-M 'P 1'
_symmetry_Int_Tables_number 1
_symmetry_space_group_name_Hall 'P 1'
loop_
_atom_site_label
_atom_site_type_symbol
_atom_site_fract_x
_atom_site_fract_y
_atom_site_fract_z
_atom_site_occupancy
Cs1 Cs 0.0000 0.0000 0.0000 1
Er1 Er 0.5145 0.5143 0.4565 1
Tl1 Tl 0.1992 0.1987 0.4024 1
Tl2 Tl 0.7138 0.7140 0.8580 1
Br1 Br 0.1727 0.7361 0.6657 1
Br2 Br 0.3411 0.5757 0.2121 1
Br3 Br 0.4256 0.1722 0.6653 1
Br4 Br 0.5757 0.8708 0.2119 1
Br5 Br 0.7369 0.4254 0.6651 1
Br6 Br 0.8707 0.3415 0.2118 1
```

***

[8]
## CsEuBr3 (PBE)

Data for an optimized crystal structure of CsEuBr3.

Calculated values
As for the total magnetic moment: 7.00 μB/f.u. For the uncorrected formation energy, the calculation gives -1.960 eV/atom.

```
data_CsEuBr3
_cell_length_a 8.4743
_cell_length_b 11.8483
_cell_length_c 8.2520
_cell_angle_alpha 90.00
_cell_angle_beta 90.00
_cell_angle_gamma 90.00
_symmetry_space_group_name_H-M 'P n m a'
_symmetry_Int_Tables_number 62
_symmetry_space_group_name_Hall '-P 2ac 2n'
loop_
_atom_site_label
_atom_site_type_symbol
_atom_site_fract_x
_atom_site_fract_y
_atom_site_fract_z
_atom_site_occupancy
Cs1 Cs 0.0526 0.2500 0.0137 1
Eu1 Eu 0.0000 0.0000 0.5000 1
Br1 Br 0.0140 0.7500 0.4294 1
Br2 Br 0.2083 0.5373 0.7936 1
```

***

[9]
## CsBrF6 (PBE)

Data for an optimized crystal structure of CsBrF6.

Calculated values
As for the total magnetic moment: 0.00 μB/f.u. For the uncorrected formation energy, the calculation gives -1.549 eV/atom.

```
data_CsBrF6
_cell_length_a 5.8586
_cell_length_b 5.8586
_cell_length_c 15.9447
_cell_angle_alpha 90.00
_cell_angle_beta 90.00
_cell_angle_gamma 120.00
_symmetry_space_group_name_H-M 'R -3 m'
_symmetry_Int_Tables_number 166
_symmetry_space_group_name_Hall '-R 3 2"'
loop_
_atom_site_label
_atom_site_type_symbol
_atom_site_fract_x
_atom_site_fract_y
_atom_site_fract_z
_atom_site_occupancy
Cs1 Cs 0.0000 0.0000 0.0000 1
Br1 Br 0.0000 0.0000 0.5000 1
F1 F 0.0274 0.5137 0.0977 1
```

***

[10]
## CsBrF2 (PBE)

Data for an optimized crystal structure of CsBrF2.

Calculated values
As for the total magnetic moment: 2.05 μB/f.u. For the uncorrected formation energy, the calculation gives -1.239 eV/atom.

```
data_CsBrF2
_cell_length_a 4.5173
_cell_length_b 4.5173
_cell_length_c 15.7375
_cell_angle_alpha 90.00
_cell_angle_beta 90.00
_cell_angle_gamma 120.00
_symmetry_space_group_name_H-M 'R -3 m'
_symmetry_Int_Tables_number 166
_symmetry_space_group_name_Hall '-R 3 2"'
loop_
_atom_site_label
_atom_site_type_symbol
_atom_site_fract_x
_atom_site_fract_y
_atom_site_fract_z
_atom_site_occupancy
Cs1 Cs 0.0000 0.0000 0.0000 1
Br1 Br 0.0000 0.0000 0.5000 1
F1 F 0.0000 0.0000 0.2230 1
```

***

[11]
## Cs2BrF2 (PBE)

Data for an optimized crystal structure of Cs2BrF2.

Calculated values
As for the total magnetic moment: 1.00 μB/f.u. For the uncorrected formation energy, the calculation gives -2.003 eV/atom.

```
data_Cs2BrF2
_cell_length_a 16.4505
_cell_length_b 4.3470
_cell_length_c 4.3487
_cell_angle_alpha 90.00
_cell_angle_beta 105.17
_cell_angle_gamma 90.00
_symmetry_space_group_name_H-M 'C 1 2/m 1'
_symmetry_Int_Tables_number 12
_symmetry_space_group_name_Hall '-C 2y'
loop_
_atom_site_label
_atom_site_type_symbol
_atom_site_fract_x
_atom_site_fract_y
_atom_site_fract_z
_atom_site_occupancy
Cs1 Cs 0.1458 0.0000 0.1464 1
Br1 Br 0.0000 0.5000 0.5000 1
F1 F 0.1672 0.5000 0.6676 1
```

***

[12]
## Cs4Br3F12 (PBE)

Data for an optimized crystal structure of Cs4Br3F12.

Calculated values
As for the total magnetic moment: 1.06 μB/f.u. For the uncorrected formation energy, the calculation gives -1.709 eV/atom.

```
data_Cs4Br3F12
_cell_length_a 10.2437
_cell_length_b 10.2437
_cell_length_c 10.2437
_cell_angle_alpha 90.00
_cell_angle_beta 90.00
_cell_angle_gamma 90.00
_symmetry_space_group_name_H-M 'I m -3'
_symmetry_Int_Tables_number 204
_symmetry_space_group_name_Hall '-I 2 2 3'
loop_
_atom_site_label
_atom_site_type_symbol
_atom_site_fract_x
_atom_site_fract_y
_atom_site_fract_z
_atom_site_occupancy
Cs1 Cs 0.2500 0.2500 0.2500 1
Br1 Br 0.0000 0.0000 0.5000 1
F1 F 0.0000 0.3545 0.1316 1
```